# HgPPb2 | Alexandria | GGA-PBEsol | optimized geometry
# **E above lowest polymorph**: 0.148 eV/atom
# **Formation energy from the elements**: 200 meV per atom
data_HgPPb2
_chemical_formula_sum 'Hg2 P2 Pb4'
_symmetry_space_group_name_H-M 'I m m m'
_symmetry_Int_Tables_number 71
_symmetry_space_group_name_Hall '-I 2 2'
_cell_length_a 3.990
_cell_length_b 5.351
_cell_length_c 9.454
_cell_angle_alpha 90.00
_cell_angle_beta 90.00
_cell_angle_gamma 90.00
loop_
_atom_site_label
_atom_site_type_symbol
_atom_site_fract_x
_atom_site_fract_y
_atom_site_fract_z
Hg1 Hg 0.000 0.000 0.000
P1 P 0.000 0.000 0.500
Pb1 Pb 0.000 0.500 0.211

***

# HfCr2AsPd | Alexandria | GGA-PBEsol | optimized geometry
# **Formation energy from the elements**: 697 meV per atom
data_HfCr2AsPd
_chemical_formula_sum 'Hf1 Cr2 As1 Pd1'
_symmetry_space_group_name_H-M 'P 4/m m m'
_symmetry_Int_Tables_number 123
_symmetry_space_group_name_Hall '-P 4 2'
_cell_length_a 4.372
_cell_length_b 4.372
_cell_length_c 4.905
_cell_angle_alpha 90.00
_cell_angle_beta 90.00
_cell_angle_gamma 90.00
loop_
_atom_site_label
_atom_site_type_symbol
_atom_site_fract_x
_atom_site_fract_y
_atom_site_fract_z
Hf1 Hf 0.000 0.000 0.000
Cr1 Cr 0.000 0.500 0.500
As1 As 0.000 0.000 0.500
Pd1 Pd 0.500 0.500 0.000

***

# TlPIN2 | Alexandria | GGA-PBEsol | optimized geometry
# **Formation energy without anion corrections**: 1282 meV/atom
data_TlPIN2
_chemical_formula_sum 'Tl1 P1 I1 N2'
_symmetry_space_group_name_H-M 'P 4/m m m'
_symmetry_Int_Tables_number 123
_symmetry_space_group_name_Hall '-P 4 2'
_cell_length_a 3.937
_cell_length_b 3.937
_cell_length_c 5.551
_cell_angle_alpha 90.00
_cell_angle_beta 90.00
_cell_angle_gamma 90.00
loop_
_atom_site_label
_atom_site_type_symbol
_atom_site_fract_x
_atom_site_fract_y
_atom_site_fract_z
Tl1 Tl 0.000 0.000 0.000
P1 P 0.500 0.500 0.500
I1 I 0.500 0.500 0.000
N1 N 0.000 0.500 0.500

***

# LiRe2Sb | Alexandria | GGA-PBEsol | optimized geometry
# **Formation energy without anion corrections**: 287 meV/atom
data_LiRe2Sb
_chemical_formula_sum 'Li4 Re8 Sb4'
_symmetry_space_group_name_H-M 'F -4 3 m'
_symmetry_Int_Tables_number 216
_symmetry_space_group_name_Hall 'F -4 2 3'
_cell_length_a 6.223
_cell_length_b 6.223
_cell_length_c 6.223
_cell_angle_alpha 90.00
_cell_angle_beta 90.00
_cell_angle_gamma 90.00
loop_
_atom_site_label
_atom_site_type_symbol
_atom_site_fract_x
_atom_site_fract_y
_atom_site_fract_z
Li1 Li 0.000 0.000 0.000
Re1 Re 0.000 0.000 0.500
Re2 Re 0.250 0.250 0.250
Sb1 Sb 0.250 0.250 0.750

***

# NaAuI2 | Alexandria | GGA-PBEsol | optimized geometry
# **Formation energy without anion corrections**: -499 meV/atom
data_NaAuI2
_chemical_formula_sum 'Na4 Au4 I8'
_symmetry_space_group_name_H-M 'I -4 2 d'
_symmetry_Int_Tables_number 122
_symmetry_space_group_name_Hall 'I -4 2bw'
_cell_length_a 6.747
_cell_length_b 6.747
_cell_length_c 13.210
_cell_angle_alpha 90.00
_cell_angle_beta 90.00
_cell_angle_gamma 90.00
loop_
_atom_site_label
_atom_site_type_symbol
_atom_site_fract_x
_atom_site_fract_y
_atom_site_fract_z
Na1 Na 0.000 0.000 0.000
Au1 Au 0.000 0.000 0.500
I1 I 0.213 0.250 0.625

***

# Zn2SnO2 | Alexandria | GGA-PBEsol | optimized geometry
# **Formation energy without anion corrections**: -690 meV/atom
data_Zn2SnO2
_chemical_formula_sum 'Zn4 Sn2 O4'
_symmetry_space_group_name_H-M 'I 4/m m m'
_symmetry_Int_Tables_number 139
_symmetry_space_group_name_Hall '-I 4 2'
_cell_length_a 3.743
_cell_length_b 3.743
_cell_length_c 13.132
_cell_angle_alpha 90.00
_cell_angle_beta 90.00
_cell_angle_gamma 90.00
loop_
_atom_site_label
_atom_site_type_symbol
_atom_site_fract_x
_atom_site_fract_y
_atom_site_fract_z
Zn1 Zn 0.000 0.500 0.250
Sn1 Sn 0.000 0.000 0.000
O1 O 0.000 0.000 0.191

***

Across the entries above, mass density takes the values 10.63; 8.22; 7.53; 13.81; 5.23; 5.08 g/cm³, respectively.